# 1
## Nd2SmHo3Er6 (PBE)

Data for a geometry-optimized Nd2SmHo3Er6 structure.

Cell lengths 6.156, 10.654, 11.723 Å; angles 90.00, 100.05, 90.00 degrees
Space group C2/m (No. 12)
One atom of each set of equivalent atoms:
Nd 0.000 0.167 0.000
Sm 0.000 0.500 0.000
Ho 0.000 0.000 0.500
Ho 0.000 0.333 0.500
Er 0.248 0.500 0.746
Er 0.249 0.167 0.746

Computed properties:
The calculation puts the energy of formation at 0.0207 eV/atom. Its spin magnetization is 0.0000 μB per atom.

# 2
## NdSm2Ho6Er (PBE)

Data for a geometry-optimized NdSm2Ho6Er structure.

Cell lengths 9.031, 15.022, 9.622 Å; angles 90.00, 98.19, 90.00 degrees
Space group C2/c (No. 15)
One atom of each set of equivalent atoms:
Nd 0.000 0.020 0.250
Sm 0.248 0.052 0.544
Ho 0.066 0.190 0.943
Ho 0.100 0.393 0.119
Ho 0.205 0.225 0.315
Er 0.000 0.408 0.750

Computed properties:
The calculation puts the energy of formation at 0.1176 eV/atom. Its spin magnetization is 0.0000 μB per atom.

# 3
## Nd3Sm6HoEr2 (PBE)

Data for a geometry-optimized Nd3Sm6HoEr2 structure.

Cell lengths 6.262, 10.847, 11.958 Å; angles 90.00, 100.06, 90.00 degrees
Space group C2/m (No. 12)
One atom of each set of equivalent atoms:
Nd 0.000 0.000 0.000
Nd 0.000 0.333 0.000
Sm 0.249 0.000 0.745
Sm 0.249 0.333 0.745
Ho 0.000 0.500 0.500
Er 0.000 0.167 0.500

Computed properties:
The calculation puts the energy of formation at 0.0174 eV/atom. Its spin magnetization is 0.0000 μB per atom.

# 4
## Nd4Sm2HoEr (PBE)

Data for a geometry-optimized Nd4Sm2HoEr structure.

Cell lengths 5.134, 5.156, 10.176 Å; angles 90.00, 90.09, 90.00 degrees
Space group P2/m (No. 10)
One atom of each set of equivalent atoms:
Nd 0.000 0.000 0.249
Nd 0.500 0.500 0.250
Sm 0.000 0.500 0.000
Sm 0.500 0.000 0.500
Ho 0.000 0.500 0.500
Er 0.500 0.000 0.000

Computed properties:
The calculation puts the energy of formation at 0.0145 eV/atom. Its spin magnetization is 0.0000 μB per atom.

# 5
## Nd2Sm2Ho4Er (PBE)

Data for a geometry-optimized Nd2Sm2Ho4Er structure.

Cell lengths 18.742, 3.612, 9.605 Å; angles 90.00, 115.73, 90.00 degrees
Space group C2/m (No. 12)
One atom of each set of equivalent atoms:
Nd 0.165 0.000 0.001
Sm 0.147 0.500 0.663
Ho 0.019 0.000 0.332
Ho 0.185 0.500 0.336
Er 0.000 0.500 0.000

Computed properties:
The calculation puts the energy of formation at 0.0031 eV/atom. Its spin magnetization is 0.0000 μB per atom.

# 6
## NdSm2HoEr5 (PBE)

Data for a geometry-optimized NdSm2HoEr5 structure.

Cell lengths 8.733, 8.733, 15.188 Å; angles 90.00, 90.00, 90.00 degrees
Space group I4/mcm (No. 140)
One atom of each set of equivalent atoms:
Nd 0.000 0.000 0.250
Sm 0.116 0.384 0.000
Ho 0.000 0.500 0.250
Er 0.000 0.000 0.000
Er 0.209 0.291 0.364

Computed properties:
The calculation puts the energy of formation at 0.2719 eV/atom. Its spin magnetization is 0.0000 μB per atom.

# 7
## NdSmHo4Er2 (PBE)

Data for a geometry-optimized NdSmHo4Er2 structure.

Cell lengths 13.572, 13.242, 6.782 Å; angles 90.00, 119.97, 90.00 degrees
Space group C2/c (No. 15)
One atom of each set of equivalent atoms:
Nd 0.250 0.250 0.000
Sm 0.000 0.000 0.000
Ho 0.000 0.253 0.002
Ho 0.247 0.498 0.495
Er 0.000 0.500 0.000
Er 0.250 0.250 0.500

Computed properties:
The calculation puts the energy of formation at 0.4348 eV/atom. Its spin magnetization is 0.3749 μB per atom.

# 8
## Nd5SmHo2Er (PBE)

Data for a geometry-optimized Nd5SmHo2Er structure.

Cell lengths 5.654, 20.441, 10.745 Å; angles 90.00, 90.00, 90.00 degrees
Space group Cmc2_1 (No. 36)
One atom of each set of equivalent atoms:
Nd 0.000 0.016 0.000
Nd 0.000 0.281 0.290
Nd 0.000 0.297 0.685
Nd 0.000 0.389 0.004
Nd 0.000 0.481 0.724
Sm 0.000 0.200 0.990
Ho 0.000 0.111 0.719
Ho 0.000 0.115 0.293
Er 0.000 0.409 0.441

Computed properties:
The calculation puts the energy of formation at 0.1438 eV/atom. Its spin magnetization is 0.0000 μB per atom.

Question: What is the energy of formation in the third record?
Answer: 0.0174 eV/atom

Question: Among the records above, which one has the highest spin magnetization?
Answer: NdSmHo4Er2